Below is an optimized crystal structure of TcMo2Ru2, with properties calculated at the PBE-GGA level.

The structure in extended XYZ format:
```
10
Lattice="7.3722 0.0000 0.0000 0.0000 7.3722 0.0000 0.0000 0.0000 2.8378" Properties=species:S:1:pos:R:3 pbc="T T T"
Tc 0.0000 0.0000 0.0000
Tc 3.6861 3.6861 0.0000
Mo 1.2456 2.4405 1.4189
Mo 2.4405 6.1266 1.4189
Mo 4.9317 1.2456 1.4189
Mo 6.1266 4.9317 1.4189
Ru 0.9584 4.6445 0.0000
Ru 2.7277 0.9584 0.0000
Ru 4.6445 6.4139 0.0000
Ru 6.4139 2.7277 0.0000
```

raw total energy: -9.856 eV/atom
space-group type: No. 127
total moment: 0.00 Bohr magnetons per cell
energy of formation: 260 meV per atom
crystal system: tetragonal